# 1
14
Lattice="3.087 -6.484 0.000 3.087 6.484 0.000 0.000 0.000 6.286" Properties=species:S:1:pos:R:3 comment="BaLaYO4, relaxed, DFT PBE" formation_energy_uncorrected_ev_per_atom=-3.038 total_magnetization_mub_per_fu=0.000 pbc="T T T"
Ba 3.087 5.128 4.714
Ba 3.087 -5.128 1.571
La 3.087 1.448 4.714
La 3.087 -1.448 1.571
Y 3.087 3.232 1.571
Y 3.087 -3.232 4.714
O 1.543 3.242 0.000
O 1.543 3.242 3.143
O 3.087 5.404 1.571
O 3.087 0.716 1.571
O 1.543 -3.242 0.000
O 1.543 -3.242 3.143
O 3.087 -0.716 4.714
O 3.087 -5.404 4.714

# 2
11
Lattice="3.094 1.787 6.180 -3.094 1.787 6.180 0.000 -3.573 6.180" Properties=species:S:1:pos:R:3 comment="Ba2LaZn2O6, relaxed, DFT PBE" formation_energy_uncorrected_ev_per_atom=-2.109 total_magnetization_mub_per_fu=1.091 pbc="T T T"
Ba 0.000 0.000 3.811
Ba 0.000 0.000 14.730
La 0.000 0.000 0.000
Zn 0.000 0.000 7.872
Zn 0.000 0.000 10.669
O -1.618 -0.934 10.681
O 0.000 -1.868 7.860
O -1.618 0.934 7.860
O 1.618 -0.934 10.681
O 0.000 1.868 10.681
O 1.618 0.934 7.860